The following is a DFT calculation (GGA-PBE) of a geometry-optimized Sr4YMg structure.

Lattice parameters (Å, degrees): 7.303 7.303 7.303 60.00 60.00 60.00
Fractional positions:
1 Sr 0.874 0.375 0.375
2 Sr 0.375 0.375 0.874
3 Sr 0.375 0.874 0.375
4 Sr 0.375 0.375 0.375
5 Y 0.750 0.750 0.750
6 Mg 0.000 0.000 0.000

Summary:
For the spin magnetization, the calculation gives 1.388 μB/f.u. As for the formation energy: 0.45 eV per atom. For the total energy, the calculation gives -12.1 eV per formula unit.

***

The following is a DFT calculation (GGA-PBE) of a geometry-optimized SbIrN2F structure.

Lattice parameters (Å, degrees): 3.919 3.919 4.398 90.00 90.00 90.00
Fractional positions:
1 Sb 0.500 0.500 0.500
2 N 0.000 0.500 0.000
3 N 0.500 0.000 0.000
4 Ir 0.000 0.000 0.000
5 F 0.000 0.000 0.500

Summary:
For the spin magnetization, the calculation gives 0.000 μB/f.u. The value obtained for the distance to the lowest polymorph of the same formula is 0 meV/atom. The calculation puts the formation energy (no corrections) at 3.056 eV per formula unit. For the total energy, the calculation gives -28.4 eV per formula unit.

***

The following is a DFT calculation (GGA-PBE) of a geometry-optimized MnAs2P structure.

Lattice parameters (Å, degrees): 3.009 3.009 7.228 90.00 90.00 90.00
Fractional positions:
1 As 0.000 0.000 0.920
2 As 0.500 0.500 0.328
3 Mn 0.000 0.000 0.557
4 P 0.500 0.500 0.695

Summary:
For the spin magnetization, the calculation gives 1.136 μB/f.u. As for the formation energy: 0.06 eV per atom. For the total energy, the calculation gives -23.7 eV per formula unit.

***

The following is a DFT calculation (GGA-PBE) of a geometry-optimized La2InAu structure.

Lattice parameters (Å, degrees): 4.090 4.090 9.209 77.06 77.06 60.34
Fractional positions:
1 Au 0.750 0.750 0.750
2 In 0.250 0.250 0.250
3 La 0.008 0.008 0.975
4 La 0.492 0.492 0.525

Summary:
For the spin magnetization, the calculation gives 0.000 μB/f.u. As for the formation energy: -0.47 eV per atom. For the total energy, the calculation gives -17.8 eV per formula unit.

***

The following is a DFT calculation (GGA-PBE) of a geometry-optimized MnInPt14 structure.

Lattice parameters (Å, degrees): 5.595 5.595 9.307 90.00 90.00 119.53
Fractional positions:
1 Mn 0.044 0.956 0.500
2 In 0.546 0.454 0.500
3 Pt 0.204 0.796 0.000
4 Pt 0.705 0.295 0.000
5 Pt 0.048 0.454 0.500
6 Pt 0.204 0.295 0.000
7 Pt 0.546 0.952 0.500
8 Pt 0.705 0.796 0.000
9 Pt 0.372 0.123 0.745
10 Pt 0.372 0.123 0.255
11 Pt 0.877 0.628 0.745
12 Pt 0.877 0.628 0.255
13 Pt 0.374 0.626 0.751
14 Pt 0.374 0.626 0.249
15 Pt 0.876 0.124 0.745
16 Pt 0.876 0.124 0.255

Summary:
For the spin magnetization, the calculation gives 4.669 μB/f.u. As for the formation energy: -0.12 eV per atom. For the total energy, the calculation gives -98.5 eV per formula unit.

***

The following is a DFT calculation (GGA-PBE) of a geometry-optimized K3CrGe structure.

Lattice parameters (Å, degrees): 6.490 6.490 6.490 90.00 90.00 90.00
Fractional positions:
1 Cr 0.500 0.500 0.500
2 Ge 0.000 0.000 0.000
3 K 0.000 0.500 0.000
4 K 0.000 0.000 0.500
5 K 0.500 0.000 0.000

Summary:
For the spin magnetization, the calculation gives 7.000 μB/f.u. The value obtained for the distance to the lowest polymorph of the same formula is 0 meV/atom. As for the formation energy: 0.79 eV per atom. For the total energy, the calculation gives -13.6 eV per formula unit.

***

The following is a DFT calculation (GGA-PBE) of a geometry-optimized La2AgPC structure.

Lattice parameters (Å, degrees): 5.710 3.893 5.710 90.00 90.00 90.00
Fractional positions:
1 P 0.500 0.500 0.500
2 C 0.000 0.500 0.000
3 Ag 0.000 0.000 0.000
4 La 0.000 0.000 0.500
5 La 0.500 0.000 0.000

Summary:
For the spin magnetization, the calculation gives 0.000 μB/f.u. The value obtained for the distance to the lowest polymorph of the same formula is 249 meV/atom. As for the formation energy: 0.41 eV per atom. For the total energy, the calculation gives -25.3 eV per formula unit.

***

The following is a DFT calculation (GGA-PBE) of a geometry-optimized SrSmTlZn structure.

Lattice parameters (Å, degrees): 5.488 5.488 5.488 60.00 60.00 60.00
Fractional positions:
1 Sr 0.250 0.250 0.250
2 Tl 0.500 0.500 0.500
3 Zn 0.000 0.000 0.000
4 Sm 0.750 0.750 0.750

Summary:
For the spin magnetization, the calculation gives 0.000 μB/f.u. As for the formation energy: -0.28 eV per atom. For the total energy, the calculation gives -11.2 eV per formula unit.

***

The following is a DFT calculation (GGA-PBE) of a geometry-optimized SmAg4Sn structure.

Lattice parameters (Å, degrees): 5.659 5.659 5.659 60.00 60.00 60.00
Fractional positions:
1 Ag 0.625 0.625 0.126
2 Ag 0.625 0.126 0.625
3 Ag 0.625 0.625 0.625
4 Ag 0.126 0.625 0.625
5 Sn 0.000 0.000 0.000
6 Sm 0.250 0.250 0.250

Summary:
For the spin magnetization, the calculation gives 0.000 μB/f.u. As for the formation energy: -0.18 eV per atom. For the total energy, the calculation gives -21.2 eV per formula unit.

***

The following is a DFT calculation (GGA-PBE) of a geometry-optimized Te3Pb structure.

Lattice parameters (Å, degrees): 6.893 6.893 5.912 90.00 90.00 120.00
Fractional positions:
1 Te 0.826 0.651 0.250
2 Te 0.349 0.174 0.250
3 Te 0.826 0.174 0.250
4 Te 0.174 0.349 0.750
5 Te 0.651 0.826 0.750
6 Te 0.174 0.826 0.750
7 Pb 0.333 0.667 0.250
8 Pb 0.667 0.333 0.750

Summary:
For the spin magnetization, the calculation gives 0.000 μB/f.u. The calculation puts the formation energy (no corrections) at 0.539 eV per formula unit. For the total energy, the calculation gives -12.6 eV per formula unit.

***

The following is a DFT calculation (GGA-PBE) of a geometry-optimized Y5Th4 structure.

Lattice parameters (Å, degrees): 3.647 9.140 9.140 87.72 78.49 78.49
Fractional positions:
1 Y 0.000 0.000 0.000
2 Y 0.334 0.000 0.333
3 Y 0.666 0.000 0.667
4 Y 0.334 0.333 0.000
5 Y 0.666 0.667 0.000
6 Th 0.000 0.338 0.662
7 Th 0.000 0.662 0.338
8 Th 0.338 0.662 0.662
9 Th 0.662 0.338 0.338

Summary:
For the spin magnetization, the calculation gives 0.000 μB/f.u. As for the formation energy: 0.13 eV per atom. For the total energy, the calculation gives -60.8 eV per formula unit.

***

The following is a DFT calculation (GGA-PBE) of a geometry-optimized LaCuSn2Pd4 structure.

Lattice parameters (Å, degrees): 4.493 4.493 9.311 76.04 76.04 60.00
Fractional positions:
1 La 0.000 0.000 0.000
2 Cu 0.500 0.500 0.500
3 Sn 0.762 0.762 0.713
4 Sn 0.238 0.238 0.287
5 Pd 0.402 0.402 0.794
6 Pd 0.865 0.865 0.404
7 Pd 0.135 0.135 0.596
8 Pd 0.598 0.598 0.206

Summary:
For the spin magnetization, the calculation gives 0.000 μB/f.u. As for the formation energy: -0.59 eV per atom. For the total energy, the calculation gives -42.6 eV per formula unit.

***

The following is a DFT calculation (GGA-PBE) of a geometry-optimized TbGaOs structure.

Lattice parameters (Å, degrees): 4.223 6.840 8.009 90.00 90.00 90.00
Fractional positions:
1 Os 0.750 0.893 0.026
2 Os 0.250 0.607 0.526
3 Os 0.250 0.107 0.974
4 Os 0.750 0.393 0.474
5 Ga 0.750 0.244 0.156
6 Ga 0.250 0.256 0.656
7 Ga 0.250 0.756 0.844
8 Ga 0.750 0.744 0.344
9 Tb 0.750 0.453 0.838
10 Tb 0.250 0.047 0.338
11 Tb 0.250 0.547 0.162
12 Tb 0.750 0.953 0.662

Summary:
For the spin magnetization, the calculation gives 0.000 μB/f.u. As for the formation energy: -0.33 eV per atom. For the total energy, the calculation gives -19.9 eV per formula unit.